(1)
This record from Alexandria via LeMat-Bulk describes crystalline NpAgTe2 at its relaxed geometry. The functional is PBE.

Cell lengths 4.254, 4.254, 7.772 Å; angles 74.12, 74.12, 60.00 degrees
Site moments in Bohr magnetons follow the coordinates.
Positions (direct):
Ag  0.666  0.666  0.003  -0.03
Te  0.254  0.254  0.237  -0.11
Te  0.079  0.079  0.763  -0.11
Np  0.501  0.501  0.497  3.98

**Raw formation energy**: -0.331 eV per atom
**Total energy**: -5.8502 eV/atom


(2)
This record from Alexandria via LeMat-Bulk describes crystalline CaGe5Br12 at its relaxed geometry. The functional is PBE.

Cell lengths 7.105, 7.116, 14.128 Å; angles 90.00, 89.99, 60.05 degrees
Positions (direct):
Br  0.833  0.000  0.387
Br  0.659  0.000  0.886
Br  0.340  0.660  0.886
Br  0.660  0.340  0.114
Br  0.000  0.660  0.114
Br  0.500  0.333  0.612
Br  0.000  0.340  0.886
Br  0.833  0.667  0.612
Br  0.500  0.667  0.388
Br  0.167  0.333  0.388
Br  0.167  0.000  0.613
Br  0.341  0.000  0.114
Ge  0.500  0.000  0.500
Ge  0.333  0.333  0.000
Ge  0.167  0.667  0.500
Ge  0.833  0.333  0.500
Ge  0.667  0.667  0.000
Ca  0.000  0.000  0.000

**Raw formation energy**: -0.805 eV per atom
**Total energy**: -3.3137 eV/atom


(3)
This record from Alexandria via LeMat-Bulk describes crystalline ScTlZn at its relaxed geometry. The functional is PBE.

Cell lengths 4.953, 4.953, 5.951 Å; angles 90.00, 90.00, 120.00 degrees
Positions (direct):
Tl  0.333  0.667  0.250
Tl  0.667  0.333  0.750
Sc  0.667  0.333  0.250
Sc  0.333  0.667  0.750
Zn  0.000  0.000  0.500
Zn  0.000  0.000  0.000

**Energy of formation**: -116 meV per atom
**Total energy**: -3.4402 eV/atom


(4)
This record from Alexandria via LeMat-Bulk describes crystalline Pr5Sm2Y5 at its relaxed geometry. The functional is PBE.

Cell lengths 5.144, 8.132, 10.938 Å; angles 72.82, 76.40, 71.56 degrees
Positions (direct):
Pr  0.250  0.748  0.751
Pr  0.835  0.832  0.499
Pr  0.000  0.000  0.000
Pr  0.165  0.168  0.501
Pr  0.750  0.252  0.249
Y  0.500  0.500  0.500
Y  0.418  0.915  0.249
Y  0.582  0.085  0.751
Y  0.667  0.666  0.000
Y  0.333  0.334  0.000
Sm  0.083  0.586  0.248
Sm  0.917  0.414  0.752

**Energy of formation**: 15 meV per atom
**Total energy**: -5.4564 eV/atom


(5)
This record from Alexandria via LeMat-Bulk describes crystalline NaInOs3 at its relaxed geometry. The functional is PBE.

Cell lengths 4.524, 4.524, 4.524 Å; angles 90.00, 90.00, 90.00 degrees
Site moments in Bohr magnetons follow the coordinates.
Positions (direct):
Na  0.000  0.000  0.000  0.01
In  0.500  0.500  0.500  -0.04
Os  0.500  0.000  0.000  0.84
Os  0.000  0.500  0.000  0.98
Os  0.000  0.000  0.500  1.00

**Energy of formation**: 2795 meV per atom
**ΔE to the lowest computed polymorph**: 0.56 eV/f.u.
**Total energy**: -4.7541 eV/atom


(6)
This record from Alexandria via LeMat-Bulk describes crystalline LaPr2Nd5Tm at its relaxed geometry. The functional is PBE.

Cell lengths 8.969, 8.969, 10.198 Å; angles 116.09, 116.09, 90.00 degrees
Positions (direct):
Tm  0.750  0.250  0.500
Tm  0.250  0.750  0.500
Nd  0.151  0.071  0.722
Nd  0.929  0.429  0.278
Nd  0.349  0.849  0.278
Nd  0.500  0.500  0.000
Nd  0.571  0.651  0.722
Nd  0.071  0.571  0.722
Nd  0.651  0.151  0.722
Nd  0.000  0.000  0.000
Nd  0.429  0.349  0.278
Nd  0.849  0.929  0.278
Pr  0.882  0.618  0.000
Pr  0.618  0.118  0.000
Pr  0.382  0.882  0.000
Pr  0.118  0.382  0.000
La  0.750  0.750  0.500
La  0.250  0.250  0.500

**Energy of formation**: 264 meV per atom
**Total energy**: -4.4910 eV/atom


(7)
This record from Alexandria via LeMat-Bulk describes crystalline Na3AuO3 at its relaxed geometry. The functional is PBE.

Cell lengths 9.610, 9.610, 4.551 Å; angles 90.00, 90.00, 90.00 degrees
Positions (direct):
Na  0.148  0.148  0.000
Na  0.352  0.648  0.500
Na  0.648  0.352  0.500
Na  0.129  0.620  0.000
Na  0.371  0.120  0.500
Na  0.120  0.371  0.500
Na  0.380  0.871  0.000
Na  0.629  0.880  0.500
Na  0.880  0.629  0.500
Na  0.871  0.380  0.000
Na  0.852  0.852  0.000
Na  0.620  0.129  0.000
O  0.602  0.398  0.000
O  0.386  0.174  0.000
O  0.102  0.102  0.500
O  0.174  0.386  0.000
O  0.326  0.886  0.500
O  0.398  0.602  0.000
O  0.614  0.826  0.000
O  0.826  0.614  0.000
O  0.674  0.114  0.500
O  0.898  0.898  0.500
O  0.886  0.326  0.500
O  0.114  0.674  0.500
Au  0.384  0.384  0.000
Au  0.884  0.116  0.500
Au  0.116  0.884  0.500
Au  0.616  0.616  0.000

**ΔE to the lowest computed polymorph**: 0.00 eV/f.u.
**Raw formation energy**: -1.070 eV per atom
**Total energy**: -4.2289 eV/atom


(8)
This record from Alexandria via LeMat-Bulk describes crystalline Sm2GaCu at its relaxed geometry. The functional is PBE.

Cell lengths 3.555, 3.555, 7.407 Å; angles 90.00, 90.00, 90.00 degrees
Positions (direct):
Sm  0.000  0.000  0.242
Sm  0.000  0.000  0.758
Ga  0.500  0.500  0.500
Cu  0.500  0.500  0.000

**Energy of formation**: -365 meV per atom
**Total energy**: -4.5055 eV/atom


(9)
This record from Alexandria via LeMat-Bulk describes crystalline NaDyInSn at its relaxed geometry. The functional is PBE.

Cell lengths 4.477, 4.671, 4.873 Å; angles 90.00, 90.00, 90.00 degrees
Positions (direct):
Na  0.500  0.000  0.500
Sn  0.000  0.000  0.000
Dy  0.500  0.500  0.000
In  0.000  0.500  0.500

**Energy of formation**: -377 meV per atom
**ΔE to the lowest computed polymorph**: 0.00 eV/f.u.
**Total energy**: -3.5423 eV/atom


(10)
This record from Alexandria via LeMat-Bulk describes crystalline Na5Tb3I12 at its relaxed geometry. The functional is PBE.

Cell lengths 15.942, 15.942, 15.942 Å; angles 109.47, 109.47, 109.47 degrees
Site moments in Bohr magnetons follow the coordinates.
Positions (direct):
I  0.870  0.596  0.921  0.00
I  0.325  0.552  0.421  0.00
I  0.226  0.675  0.096  0.00
I  0.096  0.175  0.226  0.00
I  0.274  0.870  0.948  0.00
I  0.921  0.825  0.552  0.00
I  0.096  0.921  0.370  0.00
I  0.904  0.825  0.774  0.00
I  0.404  0.274  0.325  0.00
I  0.448  0.774  0.870  0.00
I  0.130  0.404  0.079  0.00
I  0.579  0.630  0.404  0.00
I  0.130  0.726  0.552  0.00
I  0.825  0.921  0.052  0.00
I  0.370  0.948  0.774  0.00
I  0.726  0.596  0.175  0.00
I  0.552  0.226  0.130  0.00
I  0.948  0.579  0.175  0.00
I  0.948  0.370  0.274  0.00
I  0.630  0.052  0.226  0.00
I  0.079  0.175  0.448  0.00
I  0.596  0.726  0.675  0.00
I  0.825  0.904  0.274  0.00
I  0.921  0.096  0.870  0.00
I  0.552  0.325  0.921  0.00
I  0.448  0.675  0.079  0.00
I  0.774  0.325  0.904  0.00
I  0.052  0.421  0.825  0.00
I  0.370  0.421  0.096  0.00
I  0.052  0.630  0.726  0.00
I  0.596  0.870  0.421  0.00
I  0.421  0.052  0.325  0.00
I  0.175  0.096  0.726  0.00
I  0.675  0.448  0.579  0.00
I  0.904  0.079  0.630  0.00
I  0.579  0.948  0.675  0.00
I  0.421  0.370  0.596  0.00
I  0.870  0.274  0.448  0.00
I  0.274  0.404  0.825  0.00
I  0.079  0.904  0.130  0.00
I  0.404  0.130  0.579  0.00
I  0.630  0.579  0.904  0.00
I  0.774  0.448  0.370  0.00
I  0.226  0.552  0.630  0.00
I  0.175  0.079  0.948  0.00
I  0.325  0.774  0.404  0.00
I  0.726  0.130  0.052  0.00
I  0.675  0.226  0.596  0.00
Tb  0.625  0.250  0.375  0.42
Tb  0.750  0.375  0.125  0.42
Tb  0.750  0.875  0.625  0.42
Tb  0.375  0.750  0.625  0.42
Tb  0.250  0.125  0.375  0.42
Tb  0.125  0.875  0.750  0.42
Tb  0.125  0.250  0.875  0.42
Tb  0.625  0.375  0.750  0.42
Tb  0.375  0.625  0.250  0.42
Tb  0.875  0.750  0.125  0.42
Tb  0.875  0.125  0.250  0.42
Tb  0.250  0.625  0.875  0.42
Na  0.125  0.750  0.375  0.00
Na  0.125  0.375  0.250  0.00
Na  0.250  0.375  0.625  0.00
Na  0.000  0.000  0.500  0.00
Na  0.375  0.250  0.125  0.00
Na  0.875  0.625  0.750  0.00
Na  0.250  0.875  0.125  0.00
Na  0.750  0.125  0.875  0.00
Na  0.500  0.000  0.000  0.00
Na  0.750  0.625  0.375  0.00
Na  0.500  0.500  0.500  0.00
Na  0.000  0.000  0.000  0.00
Na  0.000  0.500  0.500  0.00
Na  0.500  0.500  0.000  0.00
Na  0.625  0.750  0.875  0.00
Na  0.000  0.500  0.000  0.00
Na  0.875  0.250  0.625  0.00
Na  0.500  0.000  0.500  0.00
Na  0.375  0.125  0.750  0.00
Na  0.625  0.875  0.250  0.00

**Raw formation energy**: -1.041 eV per atom
**Total energy**: -2.9954 eV/atom


(11)
This record from Alexandria via LeMat-Bulk describes crystalline Sc2ReW at its relaxed geometry. The functional is PBE.

Cell lengths 5.469, 5.431, 2.824 Å; angles 80.80, 78.53, 116.86 degrees
Positions (direct):
W  0.000  0.500  0.500
Sc  0.000  0.000  0.000
Sc  0.500  0.000  0.500
Re  0.500  0.500  0.000

**Energy of formation**: 165 meV per atom
**ΔE to the lowest computed polymorph**: 0.89 eV/f.u.
**Total energy**: -9.3514 eV/atom


(12)
This record from Alexandria via LeMat-Bulk describes crystalline Sm2ThRuN4 at its relaxed geometry. The functional is PBE.

Cell lengths 3.463, 6.207, 11.789 Å; angles 90.00, 90.00, 106.20 degrees
Positions (direct):
Th  0.112  0.223  0.750
Th  0.888  0.777  0.250
N  0.723  0.446  0.865
N  0.277  0.554  0.135
N  0.277  0.554  0.365
N  0.000  0.000  0.000
N  0.723  0.446  0.635
N  0.544  0.087  0.250
N  0.456  0.913  0.750
N  0.000  0.000  0.500
Ru  0.148  0.296  0.250
Ru  0.852  0.704  0.750
Sm  0.369  0.739  0.951
Sm  0.631  0.261  0.451
Sm  0.631  0.261  0.049
Sm  0.369  0.739  0.549

**Raw formation energy**: -1.008 eV per atom
**Total energy**: -8.4370 eV/atom


Per-record magnetization, μB per atom: 1.000 0.000 0.000 0.000 0.598 0.000 0.000 0.000 0.000 0.100 0.000 0.000
Per-record ρ, g/cm³: 8.62 3.65 8.27 5.88 12.70 6.78 4.96 7.70 6.83 4.50 10.87 9.41